1.
Material: Ta5MoOs4
Method: DFT, PBE
State: optimized geometry

Output
Crystal system: tetragonal
Total energy: -117.7 eV/cell
D(E_F): 8.3 states/eV per cell
Total moment: 0.000 μB per formula unit
Energy of formation: -0.267 eV/atom

Cell lengths 3.2167, 3.2167, 15.7854 Å; angles 90.00, 90.00, 90.00 degrees
Atoms (fractional coordinates):
Ta  0.5000  0.5000  0.0987
Ta  0.5000  0.5000  0.3013
Ta  0.5000  0.5000  0.5000
Ta  0.5000  0.5000  0.6987
Ta  0.5000  0.5000  0.9013
Mo  0.0000  0.0000  0.0000
Os  0.0000  0.0000  0.2033
Os  0.0000  0.0000  0.4013
Os  0.0000  0.0000  0.5987
Os  0.0000  0.0000  0.7967

2.
Material: Ta2MoOs
Method: DFT, PBE
State: optimized geometry

Output
Crystal system: tetragonal
Total energy: -45.6 eV/cell
D(E_F): 4.5 states/eV per cell
Total moment: 0.000 μB per formula unit
Energy of formation: 0.037 eV/atom

Cell lengths 2.9123, 2.9123, 8.0012 Å; angles 90.00, 90.00, 90.00 degrees
Atoms (fractional coordinates):
Mo  0.0000  0.0000  0.5274
Os  0.5000  0.5000  0.7366
Ta  0.0000  0.0000  0.9791
Ta  0.5000  0.5000  0.2570

3.
Material: Ta2MoOs
Method: DFT, PBE
State: optimized geometry

Output
Crystal system: monoclinic
Total energy: -46.4 eV/cell
D(E_F): 2.0 states/eV per cell
Total moment: 0.000 μB per formula unit
Energy of formation: -0.164 eV/atom

Cell lengths 5.3232, 5.2418, 2.8353 Å; angles 79.06, 80.86, 117.70 degrees
Atoms (fractional coordinates):
Mo  0.0000  0.5000  0.5000
Os  0.5000  0.5000  0.0000
Ta  0.0000  0.0000  0.0000
Ta  0.5000  0.0000  0.5000

4.
Material: Ta3Mo2Os2
Method: DFT, PBE
State: optimized geometry

Output
Crystal system: triclinic
Total energy: -80.8 eV/cell
D(E_F): 6.4 states/eV per cell
Total moment: 0.000 μB per formula unit
Energy of formation: -0.157 eV/atom

Cell lengths 4.5184, 4.5063, 8.3140 Å; angles 89.99, 122.88, 119.99 degrees
Atoms (fractional coordinates):
Ta  0.0000  0.0000  0.0000
Ta  0.2829  0.1413  0.7122
Ta  0.7171  0.8587  0.2878
Mo  0.8618  0.4312  0.1469
Mo  0.1382  0.5688  0.8531
Os  0.5532  0.2774  0.4160
Os  0.4468  0.7226  0.5840

5.
Material: Ta2MoOs
Method: DFT, PBE
State: optimized geometry

Output
Crystal system: orthorhombic
Total energy: -46.4 eV/cell
D(E_F): 2.7 states/eV per cell
Total moment: 0.000 μB per formula unit
Energy of formation: -0.153 eV/atom

Cell lengths 3.1862, 4.6592, 4.4456 Å; angles 90.00, 90.00, 90.00 degrees
Atoms (fractional coordinates):
Mo  0.5000  0.0000  0.5000
Os  0.0000  0.5000  0.5000
Ta  0.0000  0.0000  0.0000
Ta  0.5000  0.5000  0.0000

6.
Material: TaMo2Os
Method: DFT, PBE
State: optimized geometry

Output
Crystal system: tetragonal
Total energy: -44.8 eV/cell
D(E_F): 3.8 states/eV per cell
Total moment: 0.000 μB per formula unit
Energy above the lowest structure with this stoichiometry: 0.40 eV per formula unit
Energy of formation: -0.006 eV/atom

Cell lengths 4.4987, 4.4987, 3.1578 Å; angles 90.00, 90.00, 90.00 degrees
Atoms (fractional coordinates):
Mo  0.0000  0.0000  0.0000
Mo  0.5000  0.5000  0.0000
Os  0.5000  0.0000  0.5000
Ta  0.0000  0.5000  0.5000